Entry 1:
# PuInFeTc GGA-PBE relaxed
# Total DFT energy (no corrections) in eV per cell: -142.5
data_PuInFeTc
_symmetry_space_group_name_H-M 'F -4 3 m'
_symmetry_Int_Tables_number 216
_symmetry_space_group_name_Hall 'F -4 2 3'
_cell_length_a 6.554
_cell_length_b 6.554
_cell_length_c 6.554
_cell_angle_alpha 90.00
_cell_angle_beta 90.00
_cell_angle_gamma 90.00
loop_
_atom_site_label
_atom_site_type_symbol
_atom_site_fract_x
_atom_site_fract_y
_atom_site_fract_z
_atom_site_occupancy
Pu1 Pu 0.000 0.000 0.000 1
In1 In 0.000 0.000 0.500 1
Fe1 Fe 0.250 0.250 0.750 1
Tc1 Tc 0.250 0.250 0.250 1

Entry 2:
# CeTmGa2Cu2 GGA-PBE relaxed
# Total DFT energy (no corrections) in eV per cell: -27.4
data_CeTmGa2Cu2
_symmetry_space_group_name_H-M 'P -3 m 1'
_symmetry_Int_Tables_number 164
_symmetry_space_group_name_Hall '-P 3 2"'
_cell_length_a 4.3435
_cell_length_b 4.3435
_cell_length_c 7.2340
_cell_angle_alpha 90.00
_cell_angle_beta 90.00
_cell_angle_gamma 120.00
loop_
_atom_site_label
_atom_site_type_symbol
_atom_site_fract_x
_atom_site_fract_y
_atom_site_fract_z
_atom_site_occupancy
Ce1 Ce 0.0000 0.0000 0.0000 1
Tm1 Tm 0.0000 0.0000 0.5000 1
Ga1 Ga 0.3333 0.6667 0.2595 1
Cu1 Cu 0.3333 0.6667 0.7220 1

Entry 3:
# NbIO GGA-PBE relaxed
# Total DFT energy (no corrections) in eV per cell: -158.5
data_NbIO
_symmetry_space_group_name_H-M 'F m m m'
_symmetry_Int_Tables_number 69
_symmetry_space_group_name_Hall '-F 2 2'
_cell_length_a 7.373
_cell_length_b 7.624
_cell_length_c 9.658
_cell_angle_alpha 90.00
_cell_angle_beta 90.00
_cell_angle_gamma 90.00
loop_
_atom_site_label
_atom_site_type_symbol
_atom_site_fract_x
_atom_site_fract_y
_atom_site_fract_z
_atom_site_occupancy
Nb1 Nb 0.189 0.000 0.000 1
I1 I 0.000 0.000 0.264 1
O1 O 0.250 0.250 0.000 1

Entry 4:
# CeHo2PuO8 GGA-PBE relaxed
# Total DFT energy (no corrections) in eV per cell: -214.5
data_CeHo2PuO8
_symmetry_space_group_name_H-M 'C m m m'
_symmetry_Int_Tables_number 65
_symmetry_space_group_name_Hall '-C 2 2'
_cell_length_a 7.042
_cell_length_b 7.206
_cell_length_c 7.101
_cell_angle_alpha 90.00
_cell_angle_beta 90.00
_cell_angle_gamma 90.00
loop_
_atom_site_label
_atom_site_type_symbol
_atom_site_fract_x
_atom_site_fract_y
_atom_site_fract_z
_atom_site_occupancy
Ce1 Ce 0.000 0.000 0.000 1
Ho1 Ho 0.000 0.500 0.249 1
Pu1 Pu 0.000 0.000 0.500 1
O1 O 0.000 0.185 0.271 1
O2 O 0.194 0.500 0.000 1
O3 O 0.210 0.500 0.500 1

Entry 5:
# Mg2POs GGA-PBE relaxed
# Total DFT energy (no corrections) in eV per cell: -57.7
data_Mg2POs
_symmetry_space_group_name_H-M 'R -3 m'
_symmetry_Int_Tables_number 166
_symmetry_space_group_name_Hall '-R 3 2"'
_cell_length_a 2.9236
_cell_length_b 2.9236
_cell_length_c 25.9487
_cell_angle_alpha 90.00
_cell_angle_beta 90.00
_cell_angle_gamma 120.00
loop_
_atom_site_label
_atom_site_type_symbol
_atom_site_fract_x
_atom_site_fract_y
_atom_site_fract_z
_atom_site_occupancy
Mg1 Mg 0.0000 0.0000 0.2492 1
P1 P 0.0000 0.0000 0.0000 1
Os1 Os 0.0000 0.0000 0.5000 1

Entry 6:
# K4TbDy3Te8 GGA-PBE relaxed
# Total DFT energy (no corrections) in eV per cell: -211.0
data_K4TbDy3Te8
_symmetry_space_group_name_H-M 'R -3 m'
_symmetry_Int_Tables_number 166
_symmetry_space_group_name_Hall '-R 3 2"'
_cell_length_a 8.9975
_cell_length_b 8.9975
_cell_length_c 24.7281
_cell_angle_alpha 90.00
_cell_angle_beta 90.00
_cell_angle_gamma 120.00
loop_
_atom_site_label
_atom_site_type_symbol
_atom_site_fract_x
_atom_site_fract_y
_atom_site_fract_z
_atom_site_occupancy
K1 K 0.0000 0.0000 0.0000 1
K2 K 0.0000 0.5000 0.0000 1
Tb1 Tb 0.0000 0.0000 0.5000 1
Dy1 Dy 0.0000 0.5000 0.5000 1
Te1 Te 0.0000 0.0000 0.2361 1
Te2 Te 0.0008 0.5004 0.7637 1

Entry 7:
# Tm3HfZn4 GGA-PBE relaxed
# Total DFT energy (no corrections) in eV per cell: -30.8
data_Tm3HfZn4
_symmetry_space_group_name_H-M 'P 4/m m m'
_symmetry_Int_Tables_number 123
_symmetry_space_group_name_Hall '-P 4 2'
_cell_length_a 3.455
_cell_length_b 3.455
_cell_length_c 13.915
_cell_angle_alpha 90.00
_cell_angle_beta 90.00
_cell_angle_gamma 90.00
loop_
_atom_site_label
_atom_site_type_symbol
_atom_site_fract_x
_atom_site_fract_y
_atom_site_fract_z
_atom_site_occupancy
Tm1 Tm 0.000 0.000 0.000 1
Tm2 Tm 0.000 0.000 0.258 1
Hf1 Hf 0.000 0.000 0.500 1
Zn1 Zn 0.500 0.500 0.129 1
Zn2 Zn 0.500 0.500 0.390 1

Entry 8:
# Nd5MgCo2 GGA-PBE relaxed
# Total DFT energy (no corrections) in eV per cell: -79.4
data_Nd5MgCo2
_symmetry_space_group_name_H-M 'I m m m'
_symmetry_Int_Tables_number 71
_symmetry_space_group_name_Hall '-I 2 2'
_cell_length_a 4.083
_cell_length_b 7.329
_cell_length_c 15.097
_cell_angle_alpha 90.00
_cell_angle_beta 90.00
_cell_angle_gamma 90.00
loop_
_atom_site_label
_atom_site_type_symbol
_atom_site_fract_x
_atom_site_fract_y
_atom_site_fract_z
_atom_site_occupancy
Nd1 Nd 0.000 0.000 0.000 1
Nd2 Nd 0.000 0.246 0.346 1
Mg1 Mg 0.000 0.500 0.000 1
Co1 Co 0.000 0.000 0.191 1

Entry 9:
# SrIrPt2 GGA-PBE relaxed
# Total DFT energy (no corrections) in eV per cell: -44.4
data_SrIrPt2
_symmetry_space_group_name_H-M 'I 4/m m m'
_symmetry_Int_Tables_number 139
_symmetry_space_group_name_Hall '-I 4 2'
_cell_length_a 4.258
_cell_length_b 4.258
_cell_length_c 8.216
_cell_angle_alpha 90.00
_cell_angle_beta 90.00
_cell_angle_gamma 90.00
loop_
_atom_site_label
_atom_site_type_symbol
_atom_site_fract_x
_atom_site_fract_y
_atom_site_fract_z
_atom_site_occupancy
Sr1 Sr 0.000 0.000 0.000 1
Ir1 Ir 0.000 0.000 0.500 1
Pt1 Pt 0.000 0.500 0.250 1

Entry 10:
# Pr3Y2Hg3 GGA-PBE relaxed
# Total DFT energy (no corrections) in eV per cell: -62.0
data_Pr3Y2Hg3
_symmetry_space_group_name_H-M 'I m m m'
_symmetry_Int_Tables_number 71
_symmetry_space_group_name_Hall '-I 2 2'
_cell_length_a 3.815
_cell_length_b 5.519
_cell_length_c 22.590
_cell_angle_alpha 90.00
_cell_angle_beta 90.00
_cell_angle_gamma 90.00
loop_
_atom_site_label
_atom_site_type_symbol
_atom_site_fract_x
_atom_site_fract_y
_atom_site_fract_z
_atom_site_occupancy
Pr1 Pr 0.000 0.000 0.000 1
Pr2 Pr 0.000 0.500 0.122 1
Y1 Y 0.000 0.000 0.233 1
Hg1 Hg 0.000 0.000 0.500 1
Hg2 Hg 0.000 0.500 0.376 1

Entry 11:
# AcEr3Tl4 GGA-PBE relaxed
# Total DFT energy (no corrections) in eV per cell: -59.2
data_AcEr3Tl4
_symmetry_space_group_name_H-M 'P m m a'
_symmetry_Int_Tables_number 51
_cell_length_a 10.942
_cell_length_b 7.751
_cell_length_c 5.472
_cell_angle_alpha 90.00
_cell_angle_beta 90.00
_cell_angle_gamma 90.00
loop_
_symmetry_equiv_pos_as_xyz
'x,y,z'
'-x,-y,-z'
'-x+1/2,-y,z'
'x+1/2,y,-z'
'x+1/2,-y,-z'
'-x+1/2,y,z'
'-x,y,-z'
'x,-y,z'
loop_
_atom_site_label
_atom_site_type_symbol
_atom_site_fract_x
_atom_site_fract_y
_atom_site_fract_z
_atom_site_occupancy
Ac1 Ac 0.000 0.000 0.000 1
Er1 Er 0.000 0.500 0.000 1
Er2 Er 0.250 0.000 0.498 1
Er3 Er 0.250 0.500 0.496 1
Tl1 Tl 0.000 0.268 0.500 1
Tl2 Tl 0.250 0.268 0.995 1

Entry 12:
# NaUPtO6 GGA-PBE relaxed
# Total DFT energy (no corrections) in eV per cell: -129.0
data_NaUPtO6
_symmetry_space_group_name_H-M 'P -3 1 c'
_symmetry_Int_Tables_number 163
_symmetry_space_group_name_Hall '-P 3 2c'
_cell_length_a 5.4441
_cell_length_b 5.4441
_cell_length_c 10.3086
_cell_angle_alpha 90.00
_cell_angle_beta 90.00
_cell_angle_gamma 120.00
loop_
_atom_site_label
_atom_site_type_symbol
_atom_site_fract_x
_atom_site_fract_y
_atom_site_fract_z
_atom_site_occupancy
Na1 Na 0.0000 0.0000 0.0000 1
U1 U 0.3333 0.6667 0.2500 1
Pt1 Pt 0.3333 0.6667 0.7500 1
O1 O 0.0099 0.3662 0.6452 1

For the records above, the corresponding V values read 17.59 19.70 22.62 15.01 16.01 36.12 20.76 28.24 18.62 29.73 29.01 14.70 Å³ per atom.